Entry 1:
Material: LiPm3Cd2
Method: DFT, PBE
State: optimized geometry

Calculated values
Calculated density, kg/m³: 6632
Space-group type: Cmmm, No. 65
N(E_F), states/eV/cell: 7.958
Total energy, eV per atom: -3.19

Cell and atoms, written as POSCAR:
```
LiPm3Cd2
1.0
2.6798 -8.0205 0.0000
2.6798 8.0205 0.0000
0.0000 0.0000 3.8837
Li Pm Cd
1 3 2
direct
0.0000 0.0000 0.0000
0.1668 0.8332 0.5000
0.5000 0.5000 0.5000
0.8332 0.1668 0.5000
0.3362 0.6638 0.0000
0.6638 0.3362 0.0000
```

Entry 2:
Material: MgNF2
Method: DFT, PBE
State: optimized geometry

Calculated values
Calculated density, kg/m³: 1571
Space-group type: I-42d, No. 122
N(E_F), states/eV/cell: 0.000
Total energy, eV per atom: -4.68
E_form (uncorrected), eV/atom: -1.261

Cell and atoms, written as POSCAR:
```
MgNF2
1.0
-2.9954 2.9954 4.4941
2.9954 -2.9954 4.4941
2.9954 2.9954 -4.4941
Mg N F
2 2 4
direct
0.0000 0.0000 0.0000
0.7500 0.2500 0.5000
0.2500 0.7500 0.5000
0.5000 0.5000 0.0000
0.3750 0.1511 0.2761
0.8489 0.1250 0.2239
0.8750 0.0989 0.7239
0.9011 0.6250 0.7761
```

Entry 3:
Material: YNpAl2O8
Method: DFT, PBE
State: optimized geometry

Calculated values
Calculated density, kg/m³: 5567
Space-group type: I-4m2, No. 119
Total energy, eV per atom: -8.32
E_form (uncorrected), eV/atom: -2.771

Cell and atoms, written as POSCAR:
```
YNpAl2O8
1.0
-3.4386 3.4386 3.2030
3.4386 -3.4386 3.2030
3.4386 3.4386 -3.2030
Y Np Al O
1 1 2 8
direct
0.0000 0.0000 0.0000
0.2500 0.7500 0.5000
0.5000 0.5000 0.0000
0.7500 0.2500 0.5000
0.3206 0.1233 0.8027
0.3206 0.5179 0.1973
0.3756 0.0533 0.3224
0.4821 0.6794 0.8027
0.7309 0.0533 0.6776
0.8767 0.6794 0.1973
0.9467 0.2691 0.3224
0.9467 0.6244 0.6776
```